# 1
Material: Ho8Pd
Method: DFT, GGA-PBE
State: optimized geometry

Computed properties:
Space-group type: P-62m, No. 189
Uncorrected energy: -0.17852 hartree per atom
Density: 9071 kg/m3

Cell lengths 9.080, 9.080, 3.656 Å; angles 90.00, 90.00, 120.00 degrees
Sites, in units of the cell vectors:
Ho: 0.000 0.248 0.500
Ho: 0.667 0.333 0.500
Ho: 0.752 0.752 0.500
Ho: 0.000 0.611 0.000
Ho: 0.248 0.000 0.500
Ho: 0.611 0.000 0.000
Ho: 0.389 0.389 0.000
Ho: 0.333 0.667 0.500
Pd: 0.000 0.000 0.000



# 2
Material: LuZnAgS3
Method: DFT, GGA-PBE
State: optimized geometry

Computed properties:
Space-group type: Cmcm, No. 63
Uncorrected energy: -0.15829 hartree per atom
Density: 6077 kg/m3

Cell lengths 6.340, 6.340, 10.822 Å; angles 90.00, 90.00, 146.06 degrees
Sites, in units of the cell vectors:
Lu: 0.000 0.000 0.000
Lu: 0.000 0.000 0.500
S: 0.645 0.355 0.062
S: 0.645 0.355 0.438
S: 0.878 0.122 0.250
S: 0.122 0.878 0.750
S: 0.355 0.645 0.562
S: 0.355 0.645 0.938
Ag: 0.535 0.465 0.250
Ag: 0.465 0.535 0.750
Zn: 0.249 0.751 0.250
Zn: 0.751 0.249 0.750



# 3
Material: LiGdCdSe3
Method: DFT, GGA-PBE
State: optimized geometry

Computed properties:
Distance to the lowest polymorph of the same formula: 0.091 eV per atom
Space-group type: Cmcm, No. 63
Density: 5622 kg/m3

Cell lengths 4.111, 6.908, 11.188 Å; angles 90.00, 90.00, 72.69 degrees
Sites, in units of the cell vectors:
Se: 0.895 0.209 0.250
Se: 0.105 0.791 0.750
Se: 0.644 0.712 0.066
Se: 0.356 0.288 0.934
Se: 0.644 0.712 0.434
Se: 0.356 0.288 0.566
Cd: 0.523 0.955 0.250
Cd: 0.477 0.045 0.750
Li: 0.769 0.463 0.750
Li: 0.231 0.537 0.250
Gd: 0.000 0.000 0.500
Gd: 0.000 0.000 0.000



# 4
Material: LaNdZr2Sb2
Method: DFT, GGA-PBE
State: optimized geometry

Computed properties:
Space-group type: I4mm, No. 107
Uncorrected energy: -0.24453 hartree per atom
Density: 7112 kg/m3

Cell lengths 9.163, 9.163, 9.163 Å; angles 152.33, 152.33, 39.53 degrees
Sites, in units of the cell vectors:
Sb: 0.127 0.127 0.000
Sb: 0.874 0.874 0.000
Zr: 0.500 0.000 0.500
Zr: 0.000 0.500 0.500
La: 0.322 0.322 0.000
Nd: 0.676 0.676 0.000